[1]
Compound: Ba2HI
Source: Alexandria via LeMat-Bulk
Functional: PBE-GGA
Structure: relaxed

ΔE to the lowest computed polymorph: 57 meV/atom
Size of the total moment: 0.00 μB/f.u.
Crystal system: tetragonal
ρ: 4.69 Mg/m³
N(E_F): 11.3 states/eV/cell

Geometry as CIF:
```
data_Ba2HI
_space_group_name_H-M_alt 'I -4 2 d'
_space_group_IT_number 122
_space_group_name_Hall 'I -4 2bw'
_cell_length_a 8.205
_cell_length_b 8.205
_cell_length_c 8.468
_cell_angle_alpha 90.00
_cell_angle_beta 90.00
_cell_angle_gamma 90.00
loop_
_atom_site_label
_atom_site_fract_x
_atom_site_fract_y
_atom_site_fract_z
Ba1 0.162 0.250 0.125
H1 0.000 0.000 0.000
I1 0.000 0.000 0.500
```

---

[2]
Compound: Ba2HI2
Source: Alexandria via LeMat-Bulk
Functional: PBE-GGA
Structure: relaxed

Total DFT energy (no corrections): -2.4033 eV per atom
Size of the total moment: 0.00 μB/f.u.
Crystal system: tetragonal
ρ: 1.74 Mg/m³
N(E_F): 2.7 states/eV/cell

Geometry as CIF:
```
data_Ba2HI2
_space_group_name_H-M_alt 'P 4/m m m'
_space_group_IT_number 123
_space_group_name_Hall '-P 4 2'
_cell_length_a 5.661
_cell_length_b 5.661
_cell_length_c 15.774
_cell_angle_alpha 90.00
_cell_angle_beta 90.00
_cell_angle_gamma 90.00
loop_
_atom_site_label
_atom_site_fract_x
_atom_site_fract_y
_atom_site_fract_z
Ba1 0.000 0.000 0.159
H1 0.000 0.000 0.000
I1 0.000 0.000 0.354
```

---

[3]
Compound: Ba2HI
Source: Alexandria via LeMat-Bulk
Functional: PBE-GGA
Structure: relaxed

ΔE to the lowest computed polymorph: 16 meV/atom
Size of the total moment: 1.77 μB/f.u.
Crystal system: trigonal
ρ: 4.69 Mg/m³
N(E_F): 3.9 states/eV/cell

Geometry as CIF:
```
data_Ba2HI
_space_group_name_H-M_alt 'R 3 m'
_space_group_IT_number 160
_space_group_name_Hall 'R 3 -2"'
_cell_length_a 4.4346
_cell_length_b 4.4346
_cell_length_c 25.1344
_cell_angle_alpha 90.00
_cell_angle_beta 90.00
_cell_angle_gamma 120.00
loop_
_atom_site_label
_atom_site_fract_x
_atom_site_fract_y
_atom_site_fract_z
Ba1 0.0000 0.0000 0.0000
Ba2 0.0000 0.0000 0.2064
H1 0.0000 0.0000 0.6057
I1 0.0000 0.0000 0.4367
```

---

[4]
Compound: BaHI2
Source: Alexandria via LeMat-Bulk
Functional: PBE-GGA
Structure: relaxed

Total DFT energy (no corrections): -3.1752 eV per atom
Size of the total moment: 0.02 μB/f.u.
Crystal system: monoclinic
ρ: 3.84 Mg/m³
N(E_F): 0.0 states/eV/cell

Geometry as CIF:
```
data_BaHI2
_space_group_name_H-M_alt 'C 1 m 1'
_space_group_IT_number 8
_cell_length_a 16.503
_cell_length_b 4.698
_cell_length_c 11.776
_cell_angle_alpha 90.00
_cell_angle_beta 132.07
_cell_angle_gamma 90.00
loop_
_space_group_symop_operation_xyz
'x,y,z'
'x,-y,z'
'x+1/2,y+1/2,z'
'x+1/2,-y+1/2,z'
loop_
_atom_site_label
_atom_site_fract_x
_atom_site_fract_y
_atom_site_fract_z
Ba1 0.000 0.000 0.000
Ba2 0.245 0.000 0.593
H1 0.024 0.500 0.608
H2 0.324 0.500 0.715
I1 0.013 0.500 0.454
I2 0.030 0.500 0.810
I3 0.185 0.500 0.307
I4 0.326 0.000 0.952
```

---

[5]
Compound: BaH3I2
Source: Alexandria via LeMat-Bulk
Functional: PBE-GGA
Structure: relaxed

Total DFT energy (no corrections): -2.9972 eV per atom
Size of the total moment: 1.00 μB/f.u.
Crystal system: orthorhombic
ρ: 3.67 Mg/m³

Geometry as CIF:
```
data_BaH3I2
_space_group_name_H-M_alt 'F d d d'
_space_group_IT_number 70
_cell_length_a 9.615
_cell_length_b 15.939
_cell_length_c 18.644
_cell_angle_alpha 90.00
_cell_angle_beta 90.00
_cell_angle_gamma 90.00
loop_
_space_group_symop_operation_xyz
'x,y,z'
'-x,-y,-z'
'-x+1/4,-y+1/4,z'
'x+1/4,y+1/4,-z'
'x,-y+1/4,-z+1/4'
'-x,y+1/4,z+1/4'
'-x+1/4,y,-z+1/4'
'x+1/4,-y,z+1/4'
'x,y+1/2,z+1/2'
'-x,-y+1/2,-z+1/2'
'-x+1/4,-y+3/4,z+1/2'
'x+1/4,y+3/4,-z+1/2'
'x,-y+3/4,-z+3/4'
'-x,y+3/4,z+3/4'
'-x+1/4,y+1/2,-z+3/4'
'x+1/4,-y+1/2,z+3/4'
'x+1/2,y,z+1/2'
'-x+1/2,-y,-z+1/2'
'-x+3/4,-y+1/4,z+1/2'
'x+3/4,y+1/4,-z+1/2'
'x+1/2,-y+1/4,-z+3/4'
'-x+1/2,y+1/4,z+3/4'
'-x+3/4,y,-z+3/4'
'x+3/4,-y,z+3/4'
'x+1/2,y+1/2,z'
'-x+1/2,-y+1/2,-z'
'-x+3/4,-y+3/4,z'
'x+3/4,y+3/4,-z'
'x+1/2,-y+3/4,-z+1/4'
'-x+1/2,y+3/4,z+1/4'
'-x+3/4,y+1/2,-z+1/4'
'x+3/4,-y+1/2,z+1/4'
loop_
_atom_site_label
_atom_site_fract_x
_atom_site_fract_y
_atom_site_fract_z
Ba1 0.125 0.306 0.125
H1 0.032 0.284 0.645
H2 0.125 0.278 0.625
I1 0.125 0.125 0.008
I2 0.125 0.125 0.492
```

---

[6]
Compound: Ba4InHI2
Source: Alexandria via LeMat-Bulk
Functional: PBE-GGA
Structure: relaxed

Total DFT energy (no corrections): -2.9012 eV per atom
Size of the total moment: 0.00 μB/f.u.
Crystal system: monoclinic
ρ: 4.54 Mg/m³
N(E_F): 4.5 states/eV/cell

Geometry as CIF:
```
data_Ba4InHI2
_space_group_name_H-M_alt 'P 1 2/m 1'
_space_group_IT_number 10
_cell_length_a 8.118
_cell_length_b 4.748
_cell_length_c 9.171
_cell_angle_alpha 90.00
_cell_angle_beta 108.00
_cell_angle_gamma 90.00
loop_
_space_group_symop_operation_xyz
'x,y,z'
'-x,-y,-z'
'-x,y,-z'
'x,-y,z'
loop_
_atom_site_label
_atom_site_fract_x
_atom_site_fract_y
_atom_site_fract_z
Ba1 0.226 0.000 0.207
Ba2 0.242 0.500 0.775
In1 0.500 0.000 0.000
H1 0.000 0.500 0.000
I1 0.000 0.000 0.500
I2 0.500 0.500 0.500
```